Nd2CoO5 after structural relaxation, computed with GGA+U.

The structure belongs to space group Pnma (No. 62); the cell edges are 10.7621, 3.8978 and 11.2405 Å and the angles 90.00°, 90.00° and 90.00°. The distinct sites, in fractional coordinates, are Nd at (0.0908, 0.2500, 0.2194), Nd at (0.1373, 0.2500, 0.5614), Co at (0.1967, 0.2500, 0.8727), O at (0.0152, 0.7500, 0.5988), O at (0.0402, 0.2500, 0.8168), O at (0.2169, 0.2500, 0.0322), O at (0.2182, 0.7500, 0.2281) and O at (0.2454, 0.7500, 0.8750).

The total energy is -7.316 eV per atom. The calculation puts the density of states at the Fermi level at 0.316 states/eV per atom.